The following is a GGA-PBE calculation of NbSe2IBr after structural relaxation, from Alexandria.

Cell lengths 5.0944, 5.0944, 5.2247 Å; angles 90.00, 90.00, 90.00 degrees
With the nearest neighbours (Å) after each atom.
Space group P4/mmm (No. 123)
One atom of each set of equivalent atoms:
Nb (0.0000, 0.0000, 0.0000) (multiplicity 1)  4 Se 2.55, 2 Br 2.61
Se (0.0000, 0.5000, 0.0000) (multiplicity 2)  2 Nb 2.55
I (0.5000, 0.5000, 0.5000) (multiplicity 1)  4 Br 3.60, 8 Se 3.65
Br (0.0000, 0.0000, 0.5000) (multiplicity 1)  2 Nb 2.61

Values from the calculation:
E_form (uncorrected) in meV/atom: -150
Total magnetization in μB/f.u.: 0.00


The following is a GGA-PBE calculation of Ho3Mg7Tl2 after structural relaxation, from Alexandria.

Cell lengths 6.0474, 6.0474, 28.9243 Å; angles 90.00, 90.00, 120.00 degrees
With the nearest neighbours (Å) after each atom.
Space group R-3m (No. 166, hexagonal axes)
One atom of each set of equivalent atoms:
Ho (0.0000, 0.0000, 0.0000) (multiplicity 3)  6 Tl 3.49, 12 Mg 3.89
Ho (0.0000, 0.0000, 0.1449) (multiplicity 6)  12 Mg 3.46-3.55, 3 Ho 3.71
Mg (0.0000, 0.0000, 0.5000) (multiplicity 3)  6 Mg 2.97
Mg (0.0060, 0.5030, 0.9155) (multiplicity 18)  5 Mg 2.97-3.08, 2 Tl 3.00-3.01
Tl (0.0000, 0.0000, 0.3345) (multiplicity 6)  6 Mg 3.00-3.01

Values from the calculation:
Calculated formation energy in eV per atom: -0.075
Total magnetization in μB/f.u.: 0.00


The following is a GGA-PBE calculation of CsLi4La3I12 after structural relaxation, from Alexandria.

Cell lengths 17.2325, 17.2325, 10.9606 Å; angles 90.00, 90.00, 120.00 degrees
With the nearest neighbours (Å) after each atom.
Space group R32 (No. 155, hexagonal axes)
One atom of each set of equivalent atoms:
Cs (0.0000, 0.0000, 0.0000) (multiplicity 3)  6 I 4.07
Li (0.0000, 0.0000, 0.5000) (multiplicity 3)  3 I 2.66
Li (0.0000, 0.4131, 0.5000) (multiplicity 9)  3 I 2.71-2.78
La (0.0000, 0.5796, 0.0000) (multiplicity 9)  6 I 3.22-3.24
I (0.0000, 0.5742, 0.5000) (multiplicity 9)  1 Li 2.78
I (0.0000, 0.8456, 0.5000) (multiplicity 9)  1 Li 2.66
I (0.0673, 0.2354, 0.1696) (multiplicity 18)  1 Li 2.71

Values from the calculation:
E_form (uncorrected) in meV/atom: -1277
Total magnetization in μB/f.u.: 2.03